Below is a geometry-optimized TlBiIBr2 structure, with properties calculated at the PBE level.

SG: P4/mmm (123)
D(E_F): 0.53 states/eV/cell
ΔE_f (raw): -485 meV/atom
Raw total energy: -13.6 eV for the cell shown
Spin magnetization: 0.000 μB per atom

Lattice parameters (Å, degrees): 5.880 5.880 6.315 90.00 90.00 90.00
Atoms (fractional coordinates):
I1 0.000 0.000 0.500
Tl1 0.500 0.500 0.500
Bi1 0.000 0.000 0.000
Br1 0.000 0.500 0.000
Br2 0.500 0.000 0.000

***

Below is a geometry-optimized ZnBi2IBr structure, with properties calculated at the PBE level.

SG: P4/mmm (123)
D(E_F): 3.87 states/eV/cell
ΔE_f (raw): 746 meV/atom
Raw total energy: -8.5 eV for the cell shown
Spin magnetization: 0.444 μB per atom

Lattice parameters (Å, degrees): 5.691 7.292 5.691 90.00 90.00 90.00
Each line ends with the local moment (μB).
Atoms (fractional coordinates):
I1 0.000 0.500 0.000  0.06
Zn1 0.500 0.500 0.500  -0.01
Bi1 0.000 0.000 0.500  0.59
Bi2 0.500 0.000 0.000  0.76
Br1 0.000 0.000 0.000  0.03

***

Question: Which of these has the highest D(E_F)?
Answer: ZnBi2IBr

***

Question: The lowest spin magnetization belongs to which entry?
Answer: TlBiIBr2